Compound: NaSm2Co2O6
Source: Alexandria
Functional: PBE with a Hubbard U
Structure: relaxed

The structure belongs to space group R-3m (No. 166, hexagonal axes); the cell edges are 5.8443, 5.8443 and 17.7998 Å and the angles 90.00°, 90.00° and 120.00°. The distinct sites, in fractional coordinates, are Na at (0.0000, 0.0000, 0.0000), Sm at (0.0000, 0.0000, 0.1878), Co at (0.0000, 0.0000, 0.4211) and O at (0.0197, 0.5099, 0.7666).

The total energy comes out at -6.345 eV per atom.